# Li2AlCd3 (GGA-PBE, relaxed)
data_Li2AlCd3
_chemical_formula_sum 'Li4 Al2 Cd6'
_cell_length_a 4.615
_cell_length_b 13.760
_cell_length_c 3.536
_cell_angle_alpha 90.00
_cell_angle_beta 90.00
_cell_angle_gamma 90.00
_space_group_name_H-M_alt 'C m m m'
_space_group_IT_number 65
_space_group_name_Hall '-C 2 2'
loop_
_atom_site_label
_atom_site_type_symbol
_atom_site_fract_x
_atom_site_fract_y
_atom_site_fract_z
Li1 Li 0.000 0.163 0.000
Al1 Al 0.000 0.500 0.000
Cd1 Cd 0.000 0.000 0.500
Cd2 Cd 0.000 0.328 0.500
# Magnetization (μB per formula unit): 0.000
# Calculated total energy (eV per atom): -1.863
# Fermi-level density of states (states/eV per cell): 3.613


# HfSc3Sn (GGA-PBE, relaxed)
data_HfSc3Sn
_chemical_formula_sum 'Hf1 Sc3 Sn1'
_cell_length_a 5.164
_cell_length_b 5.164
_cell_length_c 5.164
_cell_angle_alpha 90.00
_cell_angle_beta 90.00
_cell_angle_gamma 90.00
_space_group_name_H-M_alt 'P m -3 m'
_space_group_IT_number 221
_space_group_name_Hall '-P 4 2 3'
loop_
_atom_site_label
_atom_site_type_symbol
_atom_site_fract_x
_atom_site_fract_y
_atom_site_fract_z
Hf1 Hf 0.000 0.000 0.000
Sc1 Sc 0.000 0.000 0.500
Sn1 Sn 0.500 0.500 0.500
# Magnetization (μB per formula unit): 0.000
# Calculated total energy (eV per atom): -5.932
# Fermi-level density of states (states/eV per cell): 4.849


# YUS4 (GGA-PBE, relaxed)
data_YUS4
_chemical_formula_sum 'Y2 U2 S8'
_cell_length_a 8.766
_cell_length_b 8.936
_cell_length_c 4.099
_cell_angle_alpha 90.00
_cell_angle_beta 90.00
_cell_angle_gamma 90.00
_space_group_name_H-M_alt 'C m m m'
_space_group_IT_number 65
_space_group_name_Hall '-C 2 2'
loop_
_atom_site_label
_atom_site_type_symbol
_atom_site_fract_x
_atom_site_fract_y
_atom_site_fract_z
Y1 Y 0.000 0.000 0.000
U1 U 0.000 0.500 0.500
S1 S 0.000 0.313 0.000
S2 S 0.204 0.000 0.500
# Magnetization (μB per formula unit): 1.000
# Uncorrected formation energy (meV/atom): -1506
# Fermi-level density of states (states/eV per cell): 9.454


Fermi-level density of states of number 1 (Li2AlCd3)?
3.613 states/eV per cell